#a
A relaxed Sm6Dy8Ho crystal. Source: Alexandria via LeMat-Bulk, functional PBE.

Calculated values
The magnetic moment comes out at 0.000 μB per atom.

```
15
Lattice="9.442 0.000 0.000 -4.721 8.177 0.000 0.000 0.000 6.556" Properties=species:S:1:pos:R:3 pbc="T T T"
Sm -1.115 3.332 2.635
Sm -1.278 7.476 2.635
Sm 2.328 2.631 3.921
Sm 2.393 5.546 2.635
Sm 5.999 0.701 3.921
Sm 5.836 4.845 3.921
Dy -3.085 5.659 0.691
Dy 1.362 2.676 0.691
Dy 2.999 0.158 5.864
Dy 0.000 5.451 5.533
Dy 4.721 2.726 1.023
Dy 1.722 8.019 0.691
Dy 3.359 5.501 5.864
Dy 7.806 2.518 5.864
Ho 0.000 0.000 3.278
```



#b
A relaxed Sm6Dy8Ho crystal. Source: Alexandria via LeMat-Bulk, functional PBE.

Calculated values
The magnetic moment comes out at 0.000 μB per atom.

```
15
Lattice="4.543 2.623 6.905 -4.543 2.623 6.905 0.000 -5.246 6.905" Properties=species:S:1:pos:R:3 pbc="T T T"
Sm -3.133 -1.160 9.480
Sm -0.562 -3.294 11.235
Sm -2.571 2.134 11.235
Sm 2.571 -2.134 9.480
Sm 0.562 3.294 9.480
Sm 3.133 1.160 11.235
Dy 0.000 0.000 1.591
Dy -0.118 -1.984 7.442
Dy -1.659 1.094 7.442
Dy -1.777 -0.890 13.274
Dy 1.777 0.890 7.442
Dy 1.659 -1.094 13.274
Dy 0.118 1.984 13.274
Dy 0.000 0.000 19.124
Ho 0.000 0.000 10.358
```



Ranked by calculated energy, most stable first: #b, #a.



#a
A relaxed SmDyHo crystal. Source: Alexandria via LeMat-Bulk, functional PBE.

Calculated values
The magnetic moment comes out at 0.000 μB per atom.

```
3
Lattice="5.649 0.000 0.000 -2.824 4.892 0.000 0.000 0.000 3.464" Properties=species:S:1:pos:R:3 pbc="T T T"
Sm 0.000 0.000 0.000
Dy 0.000 3.261 1.732
Ho 2.824 1.631 1.732
```



#b
A relaxed SmDyHo crystal. Source: Alexandria via LeMat-Bulk, functional PBE.

Calculated values
The magnetic moment comes out at 0.000 μB per atom.

```
3
Lattice="3.592 0.000 0.000 -1.794 3.116 0.000 -0.003 -2.053 8.618" Properties=species:S:1:pos:R:3 pbc="T T T"
Sm 0.000 0.000 0.000
Dy 1.807 -1.030 5.724
Ho 1.800 1.042 2.904
```



Ranked by calculated energy, most stable first: #b, #a.



#a
A relaxed SmDyHo crystal. Source: Alexandria via LeMat-Bulk, functional PBE.

Calculated values
The magnetic moment comes out at 0.000 μB per atom.

```
6
Lattice="4.828 0.000 0.000 0.000 4.828 0.000 0.000 0.000 8.645" Properties=species:S:1:pos:R:3 pbc="T T T"
Sm 1.207 1.207 1.696
Sm 3.621 3.621 6.949
Dy 1.207 3.621 4.323
Dy 3.621 1.207 4.323
Ho 1.207 1.207 6.898
Ho 3.621 3.621 1.747
```



#b
A relaxed SmDyHo crystal. Source: Alexandria via LeMat-Bulk, functional PBE.

Calculated values
The magnetic moment comes out at 0.000 μB per atom.

```
3
Lattice="-1.781 1.781 7.567 1.781 -1.781 7.567 1.781 1.781 -7.567" Properties=species:S:1:pos:R:3 pbc="T T T"
Sm 0.000 0.000 0.000
Dy 0.000 0.000 5.022
Ho 0.000 0.000 10.102
```



Ranked by calculated energy, most stable first: #b, #a.



#a
A relaxed SmDy2Ho6 crystal. Source: Alexandria via LeMat-Bulk, functional PBE.

Calculated values
The magnetic moment comes out at 0.000 μB per atom.

```
9
Lattice="2.798 -14.517 0.000 2.798 14.517 0.000 0.000 0.000 3.460" Properties=species:S:1:pos:R:3 pbc="T T T"
Sm 0.000 0.000 0.000
Dy 2.798 4.848 0.000
Dy 2.798 -4.848 0.000
Ho 2.798 11.262 1.730
Ho 2.798 8.052 1.730
Ho 2.798 1.631 1.730
Ho 2.798 -1.631 1.730
Ho 2.798 -8.052 1.730
Ho 2.798 -11.262 1.730
```



#b
A relaxed SmDy2Ho6 crystal. Source: Alexandria via LeMat-Bulk, functional PBE.

Calculated values
The magnetic moment comes out at 0.000 μB per atom.

```
9
Lattice="3.459 1.997 7.582 -3.459 1.997 7.582 0.000 -3.994 7.582" Properties=species:S:1:pos:R:3 pbc="T T T"
Sm 0.000 0.000 0.000
Dy 0.000 0.000 13.384
Dy 0.000 0.000 17.131
Ho 0.000 -2.032 5.089
Ho -1.760 1.016 5.089
Ho 0.000 -1.962 10.110
Ho -1.699 0.981 10.110
Ho 1.760 1.016 5.089
Ho 1.699 0.981 10.110
```



Ranked by calculated energy, most stable first: #a, #b.



#a
A relaxed Sm8DyHo6 crystal. Source: Alexandria via LeMat-Bulk, functional PBE.

Calculated values
The magnetic moment comes out at 0.000 μB per atom.

```
15
Lattice="4.537 2.619 6.921 -4.537 2.619 6.921 0.000 -5.238 6.921" Properties=species:S:1:pos:R:3 pbc="T T T"
Sm 0.000 0.000 1.607
Sm -0.140 -1.981 7.470
Sm -1.645 1.112 7.470
Sm -1.785 -0.869 13.293
Sm 1.785 0.869 7.470
Sm 1.645 -1.112 13.293
Sm 0.140 1.981 13.293
Sm 0.000 0.000 19.156
Dy 0.000 0.000 10.381
Ho -3.196 -1.088 9.565
Ho -0.656 -3.312 11.198
Ho -2.540 2.224 11.198
Ho 2.540 -2.224 9.565
Ho 0.656 3.312 9.565
Ho 3.196 1.088 11.198
```



#b
A relaxed Sm8DyHo6 crystal. Source: Alexandria via LeMat-Bulk, functional PBE.

Calculated values
The magnetic moment comes out at 0.000 μB per atom.

```
15
Lattice="9.394 0.000 0.000 -4.697 8.135 0.000 0.000 0.000 6.499" Properties=species:S:1:pos:R:3 pbc="T T T"
Sm -1.001 2.313 2.158
Sm -2.193 7.846 2.158
Sm 1.503 2.024 4.340
Sm 0.000 5.423 2.448
Sm 4.697 2.712 4.051
Sm 3.194 6.112 2.158
Sm 6.890 0.290 4.340
Sm 5.698 5.822 4.340
Dy 0.000 0.000 0.000
Ho -1.188 3.573 5.449
Ho -1.008 7.377 5.449
Ho 2.501 2.815 1.050
Ho 2.196 5.320 5.449
Ho 5.705 0.758 1.050
Ho 5.885 4.562 1.050
```



Ranked by calculated energy, most stable first: #a, #b.



#a
A relaxed SmDy7Ho4 crystal. Source: Alexandria via LeMat-Bulk, functional PBE.

Calculated values
The magnetic moment comes out at 0.000 μB per atom.

```
12
Lattice="6.186 0.000 0.000 -0.002 7.143 0.000 -2.059 -0.003 8.553" Properties=species:S:1:pos:R:3 pbc="T T T"
Sm 0.000 0.000 0.000
Dy -0.001 3.572 0.000
Dy 0.004 0.000 5.692
Dy 1.033 5.348 2.866
Dy 3.092 1.792 0.001
Dy 1.034 5.349 8.552
Dy 3.092 1.792 5.686
Dy 4.122 7.140 2.860
Ho -0.004 3.571 5.693
Ho 1.034 1.790 2.864
Ho 3.092 5.350 5.689
Ho 4.130 3.569 2.860
```



#b
A relaxed SmDy7Ho4 crystal. Source: Alexandria via LeMat-Bulk, functional PBE.

Calculated values
The magnetic moment comes out at 0.000 μB per atom.

```
12
Lattice="6.002 -2.926 0.000 6.002 2.926 0.000 -5.937 0.000 11.130" Properties=species:S:1:pos:R:3 pbc="T T T"
Sm 0.000 0.000 0.000
Dy -1.208 0.000 3.625
Dy -2.944 0.000 10.268
Dy 1.444 0.000 5.542
Dy 6.002 0.000 0.000
Dy 4.623 0.000 5.587
Dy 9.012 0.000 0.862
Dy 7.276 0.000 7.505
Ho -1.085 0.000 7.594
Ho 3.050 0.000 2.505
Ho 3.017 0.000 8.625
Ho 7.153 0.000 3.536
```



Ranked by calculated energy, most stable first: #a, #b.



#a
A relaxed Sm2Dy2Ho5 crystal. Source: Alexandria via LeMat-Bulk, functional PBE.

Calculated values
The magnetic moment comes out at 0.000 μB per atom.

```
18
Lattice="-7.431 5.872 3.351 7.431 -5.872 3.351 7.431 5.872 -3.351" Properties=species:S:1:pos:R:3 pbc="T T T"
Sm 0.000 0.000 0.000
Sm 7.431 0.000 0.000
Sm 11.146 -0.127 0.632
Sm 3.715 0.127 0.632
Dy 1.886 -0.045 3.648
Dy 5.545 -0.045 3.648
Dy 1.886 5.917 0.298
Dy 5.545 5.917 0.298
Ho 2.119 2.775 -0.800
Ho 5.311 2.775 -0.800
Ho 3.715 -2.917 2.604
Ho -0.779 2.881 1.299
Ho 8.210 2.881 1.299
Ho 3.715 8.789 -0.746
Ho 2.119 3.097 2.550
Ho 5.311 3.097 2.550
Ho 0.779 8.863 1.299
Ho -0.779 2.991 4.649
```



#b
A relaxed Sm2Dy2Ho5 crystal. Source: Alexandria via LeMat-Bulk, functional PBE.

Calculated values
The magnetic moment comes out at 0.000 μB per atom.

```
9
Lattice="10.741 -1.743 0.000 10.741 1.743 0.000 -1.376 0.000 8.068" Properties=species:S:1:pos:R:3 pbc="T T T"
Sm 3.711 0.000 1.183
Sm 16.395 0.000 6.885
Dy 8.844 0.000 5.206
Dy 11.262 0.000 2.862
Ho 0.000 0.000 0.000
Ho 1.078 0.000 5.933
Ho 5.999 0.000 3.811
Ho 14.107 0.000 4.258
Ho 19.028 0.000 2.136
```



Ranked by calculated energy, most stable first: #a, #b.



#a
A relaxed Sm3Dy6Ho crystal. Source: Alexandria via LeMat-Bulk, functional PBE.

Calculated values
The magnetic moment comes out at 0.000 μB per atom.

```
10
Lattice="5.749 -3.295 0.000 5.749 3.295 0.000 -3.910 0.000 8.770" Properties=species:S:1:pos:R:3 pbc="T T T"
Sm 0.000 0.000 0.000
Sm -1.935 0.000 6.110
Sm 9.524 0.000 2.660
Dy 0.907 1.628 6.057
Dy 3.867 0.000 0.680
Dy 6.682 1.628 2.714
Dy 0.907 -1.628 6.057
Dy 3.722 0.000 8.090
Dy 6.682 -1.628 2.714
Ho 3.795 0.000 4.385
```



#b
A relaxed Sm3Dy6Ho crystal. Source: Alexandria via LeMat-Bulk, functional PBE.

Calculated values
The magnetic moment comes out at 0.000 μB per atom.

```
20
Lattice="5.487 -9.474 0.000 5.487 9.474 0.000 0.000 0.000 6.277" Properties=species:S:1:pos:R:3 pbc="T T T"
Sm 5.487 7.372 3.138
Sm 3.598 2.116 5.593
Sm 3.598 -2.116 2.455
Sm 7.375 2.116 5.593
Sm 7.375 -2.116 2.455
Sm 5.487 -7.372 0.000
Dy 2.663 3.977 1.865
Dy 1.817 0.873 2.977
Dy 1.817 -0.873 6.115
Dy 5.487 5.242 0.474
Dy 2.663 -3.977 5.003
Dy 5.487 0.817 2.042
Dy 5.487 -0.817 5.180
Dy 8.311 3.977 1.865
Dy 5.487 -5.242 3.613
Dy 9.156 0.873 2.977
Dy 9.156 -0.873 6.115
Dy 8.311 -3.977 5.003
Ho 5.487 3.810 3.543
Ho 5.487 -3.810 0.405
```



Ranked by calculated energy, most stable first: #b, #a.